[1]
# HfZn3Cd (GGA-PBE, optimized geometry)
data_HfZn3Cd
_cell_length_a 5.2538
_cell_length_b 5.2538
_cell_length_c 5.2538
_cell_angle_alpha 90.00
_cell_angle_beta 90.00
_cell_angle_gamma 90.00
_space_group_name_H-M_alt 'P m -3 m'
_space_group_IT_number 221
_space_group_name_Hall '-P 4 2 3'
loop_
_atom_site_label
_atom_site_fract_x
_atom_site_fract_y
_atom_site_fract_z
_atom_site_occupancy
Hf1 0.0000 0.0000 0.0000 1
Zn1 0.0000 0.0000 0.5000 1
Cd1 0.5000 0.5000 0.5000 1
# ΔE_f	0.92	eV/atom



[2]
# Bi8Pt2Au (GGA-PBE, optimized geometry)
data_Bi8Pt2Au
_cell_length_a 11.7570
_cell_length_b 8.3688
_cell_length_c 6.4159
_cell_angle_alpha 90.00
_cell_angle_beta 93.11
_cell_angle_gamma 90.00
_space_group_name_H-M_alt 'C 1 2/m 1'
_space_group_IT_number 12
loop_
_space_group_symop_operation_xyz
'x,y,z'
'-x,-y,-z'
'-x,y,-z'
'x,-y,z'
'x+1/2,y+1/2,z'
'-x+1/2,-y+1/2,-z'
'-x+1/2,y+1/2,-z'
'x+1/2,-y+1/2,z'
loop_
_atom_site_label
_atom_site_fract_x
_atom_site_fract_y
_atom_site_fract_z
_atom_site_occupancy
Bi1 0.1096 0.0000 0.3031 1
Bi2 0.1202 0.2337 0.7912 1
Bi3 0.1406 0.5000 0.4026 1
Pt1 0.2390 0.5000 0.0085 1
Au1 0.0000 0.5000 0.0000 1
# ΔE_f	-0.06	eV/atom



[3]
# Sr2Bi3Pd4Pb (GGA-PBE, optimized geometry)
data_Sr2Bi3Pd4Pb
_cell_length_a 4.8587
_cell_length_b 4.8587
_cell_length_c 11.0413
_cell_angle_alpha 90.00
_cell_angle_beta 90.00
_cell_angle_gamma 90.00
_space_group_name_H-M_alt 'P -4 m 2'
_space_group_IT_number 115
loop_
_space_group_symop_operation_xyz
'x,y,z'
'y,-x,-z'
'-x,-y,z'
'-y,x,-z'
'-x,y,z'
'-y,-x,-z'
'x,-y,z'
'y,x,-z'
loop_
_atom_site_label
_atom_site_fract_x
_atom_site_fract_y
_atom_site_fract_z
_atom_site_occupancy
Sr1 0.0000 0.5000 0.2348 1
Bi1 0.0000 0.5000 0.8762 1
Bi2 0.5000 0.5000 0.5000 1
Pd1 0.0000 0.0000 0.0000 1
Pd2 0.0000 0.5000 0.6312 1
Pd3 0.5000 0.5000 0.0000 1
Pb1 0.0000 0.0000 0.5000 1
# ΔE_f	-0.57	eV/atom



[4]
# Ba2In6Ga3 (GGA-PBE, optimized geometry)
data_Ba2In6Ga3
_cell_length_a 8.5536
_cell_length_b 8.5536
_cell_length_c 4.9510
_cell_angle_alpha 90.00
_cell_angle_beta 90.00
_cell_angle_gamma 120.00
_space_group_name_H-M_alt 'P -6 2 m'
_space_group_IT_number 189
_space_group_name_Hall 'P -6 -2'
loop_
_atom_site_label
_atom_site_fract_x
_atom_site_fract_y
_atom_site_fract_z
_atom_site_occupancy
Ba1 0.3333 0.6667 0.0000 1
In1 0.0000 0.2013 0.0000 1
In2 0.0000 0.6954 0.5000 1
Ga1 0.0000 0.3656 0.5000 1
# ΔE_f	-0.29	eV/atom



[5]
# Ac8Pt3Se4N (GGA-PBE, optimized geometry)
data_Ac8Pt3Se4N
_cell_length_a 15.1055
_cell_length_b 8.5612
_cell_length_c 9.0685
_cell_angle_alpha 90.00
_cell_angle_beta 122.82
_cell_angle_gamma 90.00
_space_group_name_H-M_alt 'C 1 2/m 1'
_space_group_IT_number 12
loop_
_space_group_symop_operation_xyz
'x,y,z'
'-x,-y,-z'
'-x,y,-z'
'x,-y,z'
'x+1/2,y+1/2,z'
'-x+1/2,-y+1/2,-z'
'-x+1/2,y+1/2,-z'
'x+1/2,-y+1/2,z'
loop_
_atom_site_label
_atom_site_fract_x
_atom_site_fract_y
_atom_site_fract_z
_atom_site_occupancy
Ac1 0.0046 0.2309 0.2866 1
Ac2 0.2443 0.5000 0.7275 1
Ac3 0.2480 0.0000 0.7319 1
Pt1 0.0000 0.5000 0.5000 1
Pt2 0.2500 0.2500 0.5000 1
Se1 0.0000 0.0000 0.0000 1
Se2 0.0000 0.5000 0.0000 1
Se3 0.2500 0.2500 0.0000 1
N1 0.0000 0.0000 0.5000 1
# formation energy (no corrections)	-1443	meV/atom



[6]
# Li2RuCl6 (GGA-PBE, optimized geometry)
data_Li2RuCl6
_cell_length_a 5.9378
_cell_length_b 5.9378
_cell_length_c 11.0920
_cell_angle_alpha 90.00
_cell_angle_beta 90.00
_cell_angle_gamma 90.00
_space_group_name_H-M_alt 'P 42/m n m'
_space_group_IT_number 136
_space_group_name_Hall '-P 4n 2n'
loop_
_atom_site_label
_atom_site_fract_x
_atom_site_fract_y
_atom_site_fract_z
_atom_site_occupancy
Li1 0.0000 0.0000 0.1705 1
Ru1 0.0000 0.0000 0.5000 1
Cl1 0.1909 0.1909 0.3440 1
Cl2 0.2209 0.2209 0.0000 1
# formation energy (no corrections)	-1030	meV/atom



[7]
# YV2Sb2 (GGA-PBE, optimized geometry)
data_YV2Sb2
_cell_length_a 3.8835
_cell_length_b 3.8835
_cell_length_c 14.2453
_cell_angle_alpha 90.00
_cell_angle_beta 90.00
_cell_angle_gamma 90.00
_space_group_name_H-M_alt 'I 4/m m m'
_space_group_IT_number 139
_space_group_name_Hall '-I 4 2'
loop_
_atom_site_label
_atom_site_fract_x
_atom_site_fract_y
_atom_site_fract_z
_atom_site_occupancy
Y1 0.0000 0.0000 0.0000 1
V1 0.0000 0.5000 0.2500 1
Sb1 0.0000 0.0000 0.3822 1
# formation energy (no corrections)	-286	meV/atom



[8]
# Ac2TeSeF2 (GGA-PBE, optimized geometry)
data_Ac2TeSeF2
_cell_length_a 4.4282
_cell_length_b 4.4282
_cell_length_c 8.8460
_cell_angle_alpha 90.00
_cell_angle_beta 90.00
_cell_angle_gamma 120.00
_space_group_name_H-M_alt 'P -3 m 1'
_space_group_IT_number 164
_space_group_name_Hall '-P 3 2"'
loop_
_atom_site_label
_atom_site_fract_x
_atom_site_fract_y
_atom_site_fract_z
_atom_site_occupancy
Ac1 0.3333 0.6667 0.2358 1
Te1 0.0000 0.0000 0.5000 1
Se1 0.0000 0.0000 0.0000 1
F1 0.3333 0.6667 0.7655 1
# formation energy (no corrections)	-2930	meV/atom



| no. | calculated total energy (eV per atom) | total moment (μB per cell) |
| --- | --- | --- |
| 1 | -2.018 | 1.03 |
| 2 | -4.277 | 0.00 |
| 3 | -4.515 | 0.00 |
| 4 | -2.964 | 0.00 |
| 5 | -6.021 | 0.00 |
| 6 | -3.717 | 4.00 |
| 7 | -6.876 | 0.00 |
| 8 | -6.028 | 0.00 |